# Tb2Pr2NdEr (GGA-PBE, optimized geometry)
# Formation enthalpy at 0 K, kJ/mol of formula units: 35
# D(E_F), states/eV/f.u.: 9.19
# Theoretical density, g/cm³: 7.5
# Magnetic moment, μB per formula unit: 0.000
data_Tb2Pr2NdEr
_cell_length_a 7.097
_cell_length_b 5.718
_cell_length_c 9.905
_cell_angle_alpha 90.00
_cell_angle_beta 90.00
_cell_angle_gamma 90.00
_space_group_name_H-M_alt 'P m m a'
_space_group_IT_number 51
_space_group_name_Hall '-P 2a 2a'
loop_
_atom_site_label
_atom_site_fract_x
_atom_site_fract_y
_atom_site_fract_z
Tb1 0.250 0.000 0.164
Tb2 0.250 0.500 0.669
Pr1 0.000 0.500 0.000
Pr2 0.250 0.000 0.822
Nd1 0.250 0.500 0.343
Er1 0.000 0.000 0.500

=====

# Tb3PrNd2Er6 (GGA-PBE, optimized geometry)
# Formation enthalpy at 0 K, kJ/mol of formula units: 22
# D(E_F), states/eV/f.u.: 14.63
# Theoretical density, g/cm³: 8.3
# Magnetic moment, μB per formula unit: 0.000
data_Tb3PrNd2Er6
_cell_length_a 6.189
_cell_length_b 10.713
_cell_length_c 11.745
_cell_angle_alpha 90.00
_cell_angle_beta 100.07
_cell_angle_gamma 90.00
_space_group_name_H-M_alt 'C 1 2/m 1'
_space_group_IT_number 12
_space_group_name_Hall '-C 2y'
loop_
_atom_site_label
_atom_site_fract_x
_atom_site_fract_y
_atom_site_fract_z
Tb1 0.000 0.000 0.000
Tb2 0.000 0.333 0.000
Pr1 0.000 0.500 0.500
Nd1 0.000 0.167 0.500
Er1 0.248 0.167 0.247
Er2 0.248 0.500 0.247